Entry 1:
First-principles (PBE-GGA) data for an optimized crystal structure of Zr2AgW, as listed in Alexandria via LeMat-Bulk.

```
4
Lattice="4.776 0.000 0.000 0.000 4.776 0.000 0.000 0.000 3.407" Properties=species:S:1:pos:R:3 pbc="T T T"
Zr 0.000 2.388 0.000
Zr 2.388 0.000 0.000
Ag 0.000 0.000 1.704
W 2.388 2.388 1.704
```

Results
The calculation puts the density of states at the Fermi level at 3.71 states/eV per cell. The value obtained for the excess energy over the best structure of this formula in the dataset is 0.093 eV per atom. Its space group is P4/mmm, No. 123.

---

Entry 2:
First-principles (PBE-GGA) data for an optimized crystal structure of BaDyAg2F8, as listed in Alexandria via LeMat-Bulk.

```
12
Lattice="-2.968 2.968 5.744 2.968 -2.968 5.744 2.968 2.968 -5.744" Properties=species:S:1:pos:R:3 pbc="T T T"
Ba 0.000 0.000 0.000
Dy 2.968 0.000 2.872
Ag 0.000 0.000 5.744
Ag 0.000 2.968 2.872
F 1.239 1.194 -2.133
F 1.850 -0.829 4.722
F 2.139 1.118 1.022
F 1.774 -1.729 7.877
F 1.118 3.798 -1.022
F 1.729 1.774 3.610
F 0.829 1.850 6.766
F 1.194 4.698 2.133
```

Results
The calculation puts the density of states at the Fermi level at 5.00 states/eV per cell. The calculation puts the uncorrected formation energy at -2.77 eV/atom. Its space group is I-4, No. 82.

---

Entry 3:
First-principles (PBE-GGA) data for an optimized crystal structure of UNi5Pt6, as listed in Alexandria via LeMat-Bulk.

```
12
Lattice="-1.988 3.744 5.843 1.988 -3.744 5.843 1.988 3.744 -5.843" Properties=species:S:1:pos:R:3 pbc="T T T"
U 0.000 0.000 0.000
Ni 1.988 0.000 1.861
Ni 0.000 0.000 3.823
Ni 0.000 3.744 0.000
Ni 0.000 0.000 7.864
Ni 0.000 3.744 3.982
Pt 1.988 -1.798 3.863
Pt 1.988 2.001 0.000
Pt 0.000 1.946 1.980
Pt 1.988 1.798 3.863
Pt 0.000 1.743 5.843
Pt 0.000 5.541 1.980
```

Results
The calculation puts the density of states at the Fermi level at 16.65 states/eV per cell. Its space group is Immm, No. 71.

---

Entry 4:
First-principles (PBE-GGA) data for an optimized crystal structure of PmYRh, as listed in Alexandria via LeMat-Bulk.

```
6
Lattice="1.827 -7.901 0.000 1.827 7.901 0.000 0.000 0.000 5.281" Properties=species:S:1:pos:R:3 pbc="T T T"
Pm 1.827 6.779 3.961
Pm 1.827 -6.779 1.320
Y 1.827 4.515 1.320
Y 1.827 -4.515 3.961
Rh 1.827 1.214 3.961
Rh 1.827 -1.214 1.320
```

Results
The calculation puts the density of states at the Fermi level at 4.67 states/eV per cell. The value obtained for the excess energy over the best structure of this formula in the dataset is 0.087 eV per atom. Its space group is Cmcm, No. 63.

---

Number 1: total energy -8.130 eV per atom. Number 2: total energy -5.041 eV per atom. Number 3: total energy -6.649 eV per atom. Number 4: total energy -6.666 eV per atom.